The following is a DFT calculation (PBE-GGA) of a relaxed structure of LiCrAg2.

Computed properties:
For the theoretical density, the calculation gives 6.76 g/cm³. As for the volume: 16.9 A^3/atom. As for the formation energy: 190 meV per atom.

a b c (Å): 5.0657 5.0657 5.0657
angles (deg): 133.31 133.46 68.05
Closest atoms and distances in Å follow each position.
Atoms (fractional coordinates):
1 Ag 0.7499 0.2499 0.5000  4 Li 2.83, 4 Ag 2.90, 4 Cr 2.90
2 Ag 0.9999 0.9999 0.0000  4 Cr 2.83, 4 Li 2.90-2.91, 4 Ag 2.90
3 Cr 0.5001 0.5001 0.0000  8 Ag 2.83-2.90, 4 Li 2.90
4 Li 0.2501 0.7501 0.5000  8 Ag 2.83-2.91, 4 Cr 2.90

The following is a DFT calculation (PBE-GGA) of a relaxed structure of VCo2SnC.

Computed properties:
For the theoretical density, the calculation gives 5.51 g/cm³. As for the volume: 18.1 A^3/atom. As for the formation energy: 2242 meV per atom.

a b c (Å): 4.6978 4.0923 4.6978
angles (deg): 90.00 90.00 90.00
Closest atoms and distances in Å follow each position.
Atoms (fractional coordinates):
1 C 0.0000 0.5000 0.0000  2 Sn 2.05
2 Sn 0.0000 0.0000 0.0000  2 C 2.05
3 V 0.5000 0.5000 0.5000  8 Co 3.12, 4 C 3.32
4 Co 0.5000 0.0000 0.0000  2 Sn 2.35
5 Co 0.0000 0.0000 0.5000  2 Sn 2.35

The following is a DFT calculation (PBE-GGA) of a relaxed structure of In3SeN.

Computed properties:
As for the uncorrected formation energy: 29.14 kJ per mole of atoms. For the theoretical density, the calculation gives 6.37 g/cm³. As for the volume: 22.8 A^3/atom.

a b c (Å): 4.8500 4.8500 4.8500
angles (deg): 90.00 90.00 90.00
Closest atoms and distances in Å follow each position.
Atoms (fractional coordinates):
1 In 0.0000 0.0000 0.5000  2 N 2.43
2 In 0.0000 0.5000 0.0000  2 N 2.43
3 In 0.5000 0.0000 0.0000  2 N 2.43
4 N 0.0000 0.0000 0.0000  6 In 2.43
5 Se 0.5000 0.5000 0.5000  12 In 3.43

| no. | energy relative to the lowest polymorph listed for this composition (eV/atom) |
| --- | --- |
| 1 | 0.035 |
| 2 | 2.310 |
| 3 | 0.000 |